1.
4
Lattice="3.0322 0.0000 0.0000 0.0000 4.3172 0.0000 0.0000 0.0000 4.5627" Properties=species:S:1:pos:R:3 comment="MgAl2Ru SCAN PBEsol geometry" dos_ef_per_ev_cell=1.6 m_tot_mub_per_cell=0.00 delta_e_f_mev_per_atom=-316 pbc="T T T"
Mg 0.0000 0.0000 0.0000
Al 1.5161 0.0000 2.3242
Al 1.5161 2.1586 0.5956
Ru 0.0000 2.1586 2.8658



2.
4
Lattice="-1.2515 4.0631 2.1380 1.2515 -4.0631 2.1380 1.2515 4.0631 -2.1380" Properties=species:S:1:pos:R:3 comment="ZnNi3 SCAN PBEsol geometry" dos_ef_per_ev_cell=3.8 m_tot_mub_per_cell=1.64 delta_e_f_mev_per_atom=-57 pbc="T T T"
Zn 0.0000 0.0000 0.0000
Ni 1.2515 2.0481 -0.6839
Ni 0.0000 4.0631 0.0107
Ni 0.0000 2.0150 1.4541



3.
4
Lattice="-2.2166 2.2166 5.0928 2.2166 -2.2166 5.0928 2.2166 2.2166 -5.0928" Properties=species:S:1:pos:R:3 comment="BaTaHg2 SCAN PBEsol geometry" dos_ef_per_ev_cell=2.3 m_tot_mub_per_cell=1.51 delta_e_f_mev_per_atom=654 pbc="T T T"
Ba 0.0000 0.0000 0.0000
Ta 2.2166 0.0000 2.5464
Hg 0.0000 0.0000 5.0928
Hg 0.0000 2.2166 2.5464



4.
5
Lattice="4.5202 0.0000 0.0000 0.0000 4.5202 0.0000 0.0000 0.0000 4.5202" Properties=species:S:1:pos:R:3 comment="TiMoRu3 SCAN PBEsol geometry" dos_ef_per_ev_cell=4.4 m_tot_mub_per_cell=0.22 delta_e_f_mev_per_atom=1309 pbc="T T T"
Ti 0.0000 0.0000 0.0000
Mo 2.2601 2.2601 2.2601
Ru 0.0000 2.2601 2.2601
Ru 2.2601 0.0000 2.2601
Ru 2.2601 2.2601 0.0000



5.
5
Lattice="4.9765 0.0000 0.0000 0.0000 4.9765 0.0000 0.0000 0.0000 4.4855" Properties=species:S:1:pos:R:3 comment="Mg2AlCrOs SCAN PBEsol geometry" dos_ef_per_ev_cell=2.7 m_tot_mub_per_cell=3.13 delta_e_f_mev_per_atom=701 pbc="T T T"
Mg 0.0000 2.4882 0.0000
Mg 2.4882 0.0000 0.0000
Al 0.0000 0.0000 2.2428
Cr 2.4882 2.4882 2.2428
Os 2.4882 2.4882 0.0000



6.
5
Lattice="5.2149 0.0000 0.0000 0.0000 5.2149 0.0000 0.0000 0.0000 5.2149" Properties=species:S:1:pos:R:3 comment="Te3PtAu SCAN PBEsol geometry" dos_ef_per_ev_cell=7.4 e_form_raw_ev_per_fu=3.1 m_tot_mub_per_cell=0.00 pbc="T T T"
Te 0.0000 0.0000 2.6075
Te 0.0000 2.6075 0.0000
Te 2.6075 0.0000 0.0000
Pt 0.0000 0.0000 0.0000
Au 2.6075 2.6075 2.6075